Entry 1:
Below is an optimized crystal structure of CsZnPbSe2, with properties calculated at the PBE-GGA level.

a b c (Å): 5.2568 5.2568 5.6026
angles (deg): 90.00 90.00 90.00
Closest atoms and distances in Å follow each position.
Space group P4/mmm (No. 123)
Inequivalent atoms, fractional coordinates:
Cs: 0.0000 0.0000 0.0000 (multiplicity 1)  2 Zn 2.80
Zn: 0.0000 0.0000 0.5000 (multiplicity 1)  4 Se 2.63, 2 Cs 2.80
Pb: 0.5000 0.5000 0.0000 (multiplicity 1)  4 Cs 3.72, 8 Se 3.84
Se: 0.0000 0.5000 0.5000 (multiplicity 2)  2 Zn 2.63

The uncorrected formation energy comes out at 43.5 meV per atom.


Entry 2:
Below is an optimized crystal structure of Tb3Pr2Tm3, with properties calculated at the PBE-GGA level.

a b c (Å): 5.5891 11.8041 16.1205
angles (deg): 90.00 90.00 90.00
Closest atoms and distances in Å follow each position.
Space group Cmcm (No. 63)
Inequivalent atoms, fractional coordinates:
Tb: 0.0000 0.0399 0.2500 (multiplicity 4)  1 Tm 3.37, 2 Pr 3.45, 2 Tb 3.64
Tb: 0.0000 0.1124 0.5535 (multiplicity 8)  1 Tb 3.16, 3 Pr 3.30-3.53, 1 Tm 3.54
Pr: 0.0000 0.2800 0.1280 (multiplicity 8)  4 Tb 3.30-3.53, 3 Tm 3.43-3.65
Tm: 0.0000 0.2453 0.7500 (multiplicity 4)  2 Tm 3.35, 3 Tb 3.37-3.54, 4 Pr 3.43
Tm: 0.0000 0.4165 0.5846 (multiplicity 8)  2 Tm 3.35-3.37, 5 Tb 3.59-3.66, 3 Pr 3.65-3.70

The relative energy among the computed polymorphs comes out at 20 meV per atom.


| no. | raw total energy (eV per atom) | magnetic moment (μB/f.u.) |
| --- | --- | --- |
| 1 | -2.518 | 0.000 |
| 2 | -4.464 | 0.000 |